Entry 1:
Below is a relaxed SiPRu2 crystal, with properties calculated at the PBE level. Values from VASP.

```
&SYSTEM
  ibrav = 0, nat = 4, ntyp = 3
/
ATOMIC_SPECIES
Si 28.09 Si.upf
P 30.97 P.upf
Ru 101.07 Ru.upf
CELL_PARAMETERS angstrom
1.463 0.845 7.476
-1.463 0.845 7.476
0.000 -1.689 7.476
ATOMIC_POSITIONS angstrom
Si 0.000 0.000 0.000
P 0.000 0.000 5.564
Ru 0.000 0.000 11.438
Ru 0.000 0.000 16.640
```

Computed properties:
Space-group type ... R3m
Total DFT energy (no corrections) ... -29.9 eV for the cell shown
Energy above the most stable polymorph in this dataset ... 346 meV per atom
M_tot ... 0.00 Bohr magnetons per cell

---

Entry 2:
Below is a relaxed MgCd3In3 crystal, with properties calculated at the PBE level. Values from VASP.

```
&SYSTEM
  ibrav = 0, nat = 14, ntyp = 3
/
ATOMIC_SPECIES
Mg 24.30 Mg.upf
Cd 112.41 Cd.upf
In 114.82 In.upf
CELL_PARAMETERS angstrom
8.095 0.000 0.000
0.000 8.095 0.000
0.000 0.000 8.095
ATOMIC_POSITIONS angstrom
Mg 0.000 0.000 0.000
Mg 4.047 4.047 4.047
Cd 0.000 2.024 4.047
Cd 0.000 6.071 4.047
Cd 2.024 4.047 0.000
Cd 4.047 0.000 2.024
Cd 4.047 0.000 6.071
Cd 6.071 4.047 0.000
In 0.000 4.047 2.024
In 0.000 4.047 6.071
In 2.024 0.000 4.047
In 4.047 2.024 0.000
In 4.047 6.071 0.000
In 6.071 0.000 4.047
```

Computed properties:
Calculated formation energy ... 460 meV per atom
Space-group type ... Pm-3n
Total DFT energy (no corrections) ... -18.7 eV for the cell shown
Energy above the most stable polymorph in this dataset ... 451 meV per atom
M_tot ... 0.00 Bohr magnetons per cell